Material: SrTl2CdRh
Method: DFT, PBE-GGA
State: optimized geometry

As for the formation energy: -132 meV per atom. The volume is 31.91 A^3/atom. The value obtained for the energy above the most stable polymorph in this dataset is 0.12 eV per formula unit. The uncorrected energy is -0.226 Ry per atom. The spin magnetization is 0.00 μB/cell. The density comes out at 7.408 g cm⁻³. As for the crystal system: tetragonal.

The space group is P4/mmm (No. 123) and the conventional cell measures 5.300, 5.300 and 5.679 Å, with angles of 90.00, 90.00 and 90.00 degrees. The inequivalent atoms are Sr at (0.000, 0.000, 0.000), Tl at (0.000, 0.500, 0.500), Cd at (0.500, 0.500, 0.000) and Rh at (0.000, 0.000, 0.500).